DFT (PBE-GGA) results for an optimized crystal structure of Pa2AlCr.

Summary:
formation energy	5.2	kJ/mol of atoms
DFT total energy	-32.14	eV/f.u.
distance to the lowest polymorph of the same formula	0.0227	eV per atom
N(E_F)	6.82	states/eV/cell
crystal system	tetragonal
symmetry	P4/mmm, No. 123

```
data_Pa2AlCr
_cell_length_a 3.066
_cell_length_b 3.066
_cell_length_c 8.590
_cell_angle_alpha 90.00
_cell_angle_beta 90.00
_cell_angle_gamma 90.00
_space_group_name_H-M_alt 'P 1'
_space_group_IT_number 1
loop_
_space_group_symop_operation_xyz
'x,y,z'
loop_
_atom_site_label
_atom_site_fract_x
_atom_site_fract_y
_atom_site_fract_z
Pa1 0.000 0.000 0.223
Pa2 0.000 0.000 0.777
Al1 0.500 0.500 0.500
Cr1 0.500 0.500 0.000
```